[1]
{"formula": "TlCuH2Pd", "functional": "PBE", "state": "relaxed", "magnetic_moment_mub_per_cell": 0.0, "crystal_system": "tetragonal", "energy_ev_per_cell": -16.583, "volume_a3_per_atom": 14.622, "lattice_angstrom": [[-2.583, -0.084, -2.658], [3.434, -2.421, -3.260], [-1.159, -3.300, 1.231]], "species": ["H", "H", "Tl", "Cu", "Pd"], "fractional_positions": [[0.000, 0.000, 0.500], [0.500, 0.000, 0.000], [0.500, 0.500, 0.500], [0.000, 0.000, 0.000], [0.000, 0.500, 0.000]]}

[2]
{"formula": "BaVSiBr2", "functional": "PBE", "state": "relaxed", "formation_energy_uncorrected_ev_per_atom": -0.084, "magnetic_moment_mub_per_cell": 4.6, "crystal_system": "tetragonal", "energy_ev_per_cell": -20.232, "volume_a3_per_atom": 31.271, "lattice_angstrom": [[-0.812, -5.536, 0.285], [1.774, -0.498, -4.628], [5.172, -0.653, 2.053]], "species": ["Si", "Ba", "Br", "Br", "V"], "fractional_positions": [[0.000, 0.000, 0.000], [0.500, 0.500, 0.500], [0.000, 0.000, 0.500], [0.500, 0.000, 0.000], [0.000, 0.500, 0.000]]}

[3]
{"formula": "Cu4IBr3", "functional": "PBE", "state": "relaxed", "formation_energy_uncorrected_ev_per_atom": -0.011, "magnetic_moment_mub_per_cell": 0.0, "crystal_system": "trigonal", "energy_ev_per_cell": -23.039, "volume_a3_per_atom": 20.704, "lattice_angstrom": [[-8.285, -4.949, -8.410], [-5.840, -7.970, -8.139], [-8.719, -7.555, -5.547]], "species": ["Cu", "Cu", "Cu", "Cu", "I", "Br", "Br", "Br"], "fractional_positions": [[0.626, 0.626, 0.626], [0.374, 0.374, 0.374], [0.877, 0.877, 0.877], [0.123, 0.123, 0.123], [0.500, 0.500, 0.500], [0.747, 0.747, 0.747], [0.000, 0.000, 0.000], [0.253, 0.253, 0.253]]}

[4]
{"formula": "NaNd4In3", "functional": "PBE", "state": "relaxed", "formation_enthalpy_0k_ev_per_atom": -0.340, "magnetic_moment_mub_per_cell": 0.0, "crystal_system": "tetragonal", "energy_ev_per_cell": -31.329, "volume_a3_per_atom": 29.679, "lattice_angstrom": [[5.224, 0.000, -1.410], [-0.375, 5.216, -1.389], [-0.387, -0.452, 8.947]], "species": ["Na", "Nd", "Nd", "Nd", "Nd", "In", "In", "In"], "fractional_positions": [[0.500, 0.000, 0.000], [0.371, 0.371, 0.743], [0.629, 0.629, 0.257], [0.129, 0.129, 0.257], [0.871, 0.871, 0.743], [0.000, 0.500, 0.000], [0.747, 0.247, 0.494], [0.253, 0.753, 0.506]]}